# 1
DFT (PBE) results for a geometry-optimized Te2PtBr structure. Values from VASP.

Cell and atoms, written as Quantum ESPRESSO input:
```
&SYSTEM
  ibrav = 0, nat = 16, ntyp = 3
/
ATOMIC_SPECIES
Te 127.60 Te.upf
Pt 195.08 Pt.upf
Br 79.90 Br.upf
CELL_PARAMETERS angstrom
9.209 0.000 0.000
0.000 3.997 0.000
0.000 0.000 13.665
ATOMIC_POSITIONS crystal
Te 0.153 0.250 0.062
Te 0.153 0.750 0.793
Te 0.347 0.250 0.293
Te 0.347 0.750 0.562
Te 0.653 0.250 0.438
Te 0.653 0.750 0.707
Te 0.847 0.250 0.207
Te 0.847 0.750 0.938
Pt 0.017 0.250 0.881
Pt 0.483 0.750 0.381
Pt 0.517 0.250 0.619
Pt 0.983 0.750 0.119
Br 0.090 0.250 0.381
Br 0.410 0.750 0.881
Br 0.590 0.250 0.119
Br 0.910 0.750 0.619
```

Computed properties:
V   31.43 A^3/atom
Space group   Pnma (62)
Uncorrected energy   -3.789 eV/atom
Raw formation energy   -111.7 kJ/mol of formula units
Total magnetic moment   0.00 μB per cell

# 2
DFT (PBE) results for a geometry-optimized TePtBr2 structure. Values from VASP.

Cell and atoms, written as Quantum ESPRESSO input:
```
&SYSTEM
  ibrav = 0, nat = 4, ntyp = 3
/
ATOMIC_SPECIES
Te 127.60 Te.upf
Pt 195.08 Pt.upf
Br 79.90 Br.upf
CELL_PARAMETERS angstrom
5.910 0.000 0.000
0.000 3.514 0.000
-2.949 0.000 5.556
ATOMIC_POSITIONS crystal
Te 0.000 0.000 0.000
Pt 0.500 0.000 0.000
Br 0.341 0.500 0.682
Br 0.659 0.500 0.318
```

Computed properties:
V   28.85 A^3/atom
Space group   P2/m (10)
Uncorrected energy   -3.116 eV/atom
Raw formation energy   6.2 kJ/mol of formula units
Total magnetic moment   0.00 μB per cell

# 3
DFT (PBE) results for a geometry-optimized Te2PtBr structure. Values from VASP.

Cell and atoms, written as Quantum ESPRESSO input:
```
&SYSTEM
  ibrav = 0, nat = 4, ntyp = 3
/
ATOMIC_SPECIES
Te 127.60 Te.upf
Pt 195.08 Pt.upf
Br 79.90 Br.upf
CELL_PARAMETERS angstrom
4.115 0.000 0.000
-2.057 3.564 0.000
0.000 0.000 7.982
ATOMIC_POSITIONS crystal
Te 0.000 0.000 0.000
Te 0.333 0.667 0.330
Pt 0.667 0.333 0.159
Br 0.000 0.000 0.610
```

Computed properties:
V   29.26 A^3/atom
Space group   P3m1 (156)
Uncorrected energy   -3.857 eV/atom
Raw formation energy   -138.1 kJ/mol of formula units
Total magnetic moment   0.00 μB per cell

# 4
DFT (PBE) results for a geometry-optimized Te8Pt4Br structure. Values from VASP.

Cell and atoms, written as Quantum ESPRESSO input:
```
&SYSTEM
  ibrav = 0, nat = 13, ntyp = 3
/
ATOMIC_SPECIES
Te 127.60 Te.upf
Pt 195.08 Pt.upf
Br 79.90 Br.upf
CELL_PARAMETERS angstrom
8.678 -2.055 0.000
8.678 2.055 0.000
-6.965 0.000 9.949
ATOMIC_POSITIONS crystal
Te 0.040 0.040 0.283
Te 0.281 0.281 0.405
Te 0.319 0.319 0.154
Te 0.398 0.398 0.935
Te 0.602 0.602 0.065
Te 0.681 0.681 0.846
Te 0.719 0.719 0.595
Te 0.960 0.960 0.717
Pt 0.134 0.134 0.950
Pt 0.344 0.344 0.675
Pt 0.656 0.656 0.325
Pt 0.866 0.866 0.050
Br 0.000 0.000 0.500
```

Computed properties:
V   27.29 A^3/atom
Space group   C2/m (12)
Uncorrected energy   -4.258 eV/atom
Raw formation energy   -423.2 kJ/mol of formula units
Total magnetic moment   0.00 μB per cell

# 5
DFT (PBE) results for a geometry-optimized Te2PtBr structure. Values from VASP.

Cell and atoms, written as Quantum ESPRESSO input:
```
&SYSTEM
  ibrav = 0, nat = 4, ntyp = 3
/
ATOMIC_SPECIES
Te 127.60 Te.upf
Pt 195.08 Pt.upf
Br 79.90 Br.upf
CELL_PARAMETERS angstrom
0.000 3.567 3.567
3.567 0.000 3.567
3.567 3.567 0.000
ATOMIC_POSITIONS crystal
Te 0.250 0.250 0.250
Te 0.750 0.750 0.750
Pt 0.000 0.000 0.000
Br 0.500 0.500 0.500
```

Computed properties:
V   22.69 A^3/atom
Space group   Fm-3m (225)
Uncorrected energy   -3.144 eV/atom
Raw formation energy   137.0 kJ/mol of formula units
Total magnetic moment   0.00 μB per cell

# 6
DFT (PBE) results for a geometry-optimized TePtBr2 structure. Values from VASP.

Cell and atoms, written as Quantum ESPRESSO input:
```
&SYSTEM
  ibrav = 0, nat = 4, ntyp = 3
/
ATOMIC_SPECIES
Te 127.60 Te.upf
Pt 195.08 Pt.upf
Br 79.90 Br.upf
CELL_PARAMETERS angstrom
5.314 0.000 0.000
0.000 5.314 0.000
0.000 0.000 3.272
ATOMIC_POSITIONS crystal
Te 0.000 0.000 0.000
Pt 0.500 0.500 0.000
Br 0.000 0.500 0.500
Br 0.500 0.000 0.500
```

Computed properties:
V   23.10 A^3/atom
Space group   P4/mmm (123)
Uncorrected energy   -2.358 eV/atom
Raw formation energy   298.7 kJ/mol of formula units
Total magnetic moment   0.00 μB per cell

# 7
DFT (PBE) results for a geometry-optimized Te2PtBr structure. Values from VASP.

Cell and atoms, written as Quantum ESPRESSO input:
```
&SYSTEM
  ibrav = 0, nat = 4, ntyp = 3
/
ATOMIC_SPECIES
Te 127.60 Te.upf
Pt 195.08 Pt.upf
Br 79.90 Br.upf
CELL_PARAMETERS angstrom
2.639 -6.888 0.000
2.639 6.888 0.000
-0.014 0.000 3.782
ATOMIC_POSITIONS crystal
Te 0.000 0.000 0.000
Te 0.558 0.442 0.500
Pt 0.130 0.870 0.500
Br 0.260 0.740 0.000
```

Computed properties:
V   34.38 A^3/atom
Space group   C2 (5)
Uncorrected energy   -3.627 eV/atom
Raw formation energy   -49.3 kJ/mol of formula units
Total magnetic moment   0.00 μB per cell

# 8
DFT (PBE) results for a geometry-optimized Te2PtBr structure. Values from VASP.

Cell and atoms, written as Quantum ESPRESSO input:
```
&SYSTEM
  ibrav = 0, nat = 4, ntyp = 3
/
ATOMIC_SPECIES
Te 127.60 Te.upf
Pt 195.08 Pt.upf
Br 79.90 Br.upf
CELL_PARAMETERS angstrom
2.072 1.196 8.396
-2.072 1.196 8.396
0.000 -2.392 8.396
ATOMIC_POSITIONS crystal
Te 0.114 0.114 0.114
Te 0.886 0.886 0.886
Pt 0.500 0.500 0.500
Br 0.000 0.000 0.000
```

Computed properties:
V   31.21 A^3/atom
Space group   R-3m (166)
Uncorrected energy   -3.847 eV/atom
Raw formation energy   -134.1 kJ/mol of formula units
Total magnetic moment   0.00 μB per cell